[1]
12
Lattice="4.052 0.000 0.000 0.000 4.052 0.000 0.000 0.000 16.945" Properties=species:S:1:pos:R:3 comment="LiU2Se3 PBE relaxed" e_form_raw_ev_per_atom=-1.09 relative_energy_mev_per_atom=11.8 pbc="T T T"
Li 0.000 0.000 0.000
Li 2.026 2.026 8.473
U 0.000 0.000 5.630
U 0.000 0.000 11.315
U 2.026 2.026 2.843
U 2.026 2.026 14.102
Se 0.000 0.000 2.713
Se 0.000 0.000 8.473
Se 0.000 0.000 14.232
Se 2.026 2.026 0.000
Se 2.026 2.026 5.760
Se 2.026 2.026 11.185

***

[2]
16
Lattice="5.071 0.000 0.000 0.000 5.071 0.000 0.000 0.000 7.094" Properties=species:S:1:pos:R:3 comment="ReNi14Pd PBE relaxed" e_form_ev_per_atom=0.032 pbc="T T T"
Re 0.000 0.000 0.000
Ni 0.000 0.000 3.547
Ni 0.000 2.535 0.000
Ni 0.000 2.535 3.547
Ni 1.249 1.249 1.820
Ni 1.249 1.249 5.275
Ni 1.249 3.822 1.820
Ni 1.249 3.822 5.275
Ni 2.535 0.000 0.000
Ni 2.535 0.000 3.547
Ni 2.535 2.535 3.547
Ni 3.822 1.249 1.820
Ni 3.822 1.249 5.275
Ni 3.822 3.822 1.820
Ni 3.822 3.822 5.275
Pd 2.535 2.535 0.000

***

[3]
16
Lattice="6.754 0.000 0.000 0.000 6.754 0.000 0.000 0.000 6.754" Properties=species:S:1:pos:R:3 comment="KTcAs2 PBE relaxed" e_form_ev_per_atom=0.940 relative_energy_mev_per_atom=1188.2 pbc="T T T"
K 0.000 0.000 0.000
K 0.000 3.377 3.377
K 3.377 0.000 3.377
K 3.377 3.377 0.000
Tc 1.689 1.689 5.066
Tc 1.689 5.066 1.689
Tc 5.066 1.689 1.689
Tc 5.066 5.066 5.066
As 0.000 0.000 3.377
As 0.000 3.377 0.000
As 1.689 1.689 1.689
As 1.689 5.066 5.066
As 3.377 0.000 0.000
As 3.377 3.377 3.377
As 5.066 1.689 5.066
As 5.066 5.066 1.689

***

[4]
6
Lattice="4.249 0.000 0.000 0.000 4.249 0.000 0.000 0.000 5.407" Properties=species:S:1:pos:R:3 comment="HoCo2SiGe2 PBE relaxed" e_form_raw_ev_per_atom=-0.25 pbc="T T T"
Ho 0.000 0.000 0.000
Co 0.000 2.125 2.703
Co 2.125 0.000 2.703
Si 0.000 0.000 2.703
Ge 2.125 2.125 1.284
Ge 2.125 2.125 4.123

***

[5]
5
Lattice="4.895 0.000 0.000 0.000 4.895 0.000 0.000 0.000 3.572" Properties=species:S:1:pos:R:3 comment="TiCuSe2N PBE relaxed" e_form_raw_ev_per_atom=0.57 relative_energy_mev_per_atom=394.5 pbc="T T T"
Ti 0.000 0.000 0.000
Cu 2.448 2.448 1.786
Se 0.000 2.448 1.786
Se 2.448 0.000 1.786
N 2.448 2.448 0.000

***

[6]
4
Lattice="3.250 0.000 0.000 0.000 4.329 0.000 0.000 0.000 4.632" Properties=species:S:1:pos:R:3 comment="InReSi2 PBE relaxed" e_form_raw_ev_per_atom=0.70 pbc="T T T"
In 0.000 0.000 0.000
Re 1.625 0.000 2.316
Si 0.000 2.164 2.316
Si 1.625 2.164 0.000

***

[7]
10
Lattice="4.471 0.000 0.000 0.000 4.471 0.000 0.000 0.000 11.875" Properties=species:S:1:pos:R:3 comment="CaSc2Ge2 PBE relaxed" e_form_ev_per_atom=-0.587 relative_energy_mev_per_atom=18.8 pbc="T T T"
Ca 0.000 0.000 0.000
Ca 2.236 2.236 5.937
Sc 0.000 2.236 2.969
Sc 0.000 2.236 8.906
Sc 2.236 0.000 2.969
Sc 2.236 0.000 8.906
Ge 0.000 0.000 4.620
Ge 0.000 0.000 7.254
Ge 2.236 2.236 1.317
Ge 2.236 2.236 10.558

***

[8]
16
Lattice="6.261 -3.617 0.000 6.261 3.617 0.000 -4.171 0.000 11.652" Properties=species:S:1:pos:R:3 comment="La2PrSmEr4 PBE relaxed" e_form_ev_per_atom=0.016 pbc="T T T"
La 0.000 0.000 0.000
La -2.086 0.000 5.826
La 3.131 1.809 0.000
La 3.131 -1.809 0.000
Pr 6.261 0.000 0.000
Pr 4.176 0.000 5.826
Sm 1.045 1.809 5.826
Sm 1.045 -1.809 5.826
Er 3.130 1.807 8.721
Er 2.085 0.000 2.937
Er 0.008 0.000 8.721
Er 5.221 1.807 2.931
Er 3.130 -1.807 8.721
Er 8.343 0.000 2.931
Er 6.266 0.000 8.715
Er 5.221 -1.807 2.931

***

[9]
4
Lattice="2.833 0.000 0.000 0.000 2.833 0.000 0.000 0.000 8.264" Properties=species:S:1:pos:R:3 comment="CaRu3 PBE relaxed" e_form_ev_per_atom=0.366 pbc="T T T"
Ca 0.000 0.000 0.000
Ru 0.000 0.000 4.132
Ru 1.416 1.416 2.389
Ru 1.416 1.416 5.875

***

[10]
5
Lattice="6.372 0.000 0.000 0.000 6.372 0.000 0.000 0.000 6.372" Properties=species:S:1:pos:R:3 comment="Rb3VCl PBE relaxed" e_form_raw_ev_per_atom=0.01 pbc="T T T"
Rb 0.000 0.000 3.186
Rb 0.000 3.186 0.000
Rb 3.186 0.000 0.000
V 3.186 3.186 3.186
Cl 0.000 0.000 0.000

***

[11]
12
Lattice="8.861 0.000 0.000 0.000 4.338 0.000 0.000 0.000 7.364" Properties=species:S:1:pos:R:3 comment="HoSiAu PBE relaxed" e_form_raw_ev_per_atom=-0.50 pbc="T T T"
Ho 1.871 1.084 0.000
Ho 1.871 3.254 3.682
Ho 6.990 1.084 0.000
Ho 6.990 3.254 3.682
Si 0.000 1.084 4.909
Si 0.000 3.254 1.227
Si 4.431 1.069 1.362
Si 4.431 3.269 5.044
Au 0.000 1.085 2.454
Au 0.000 3.253 6.136
Au 4.431 1.100 6.083
Au 4.431 3.238 2.401

***

[12]
19
Lattice="5.114 2.953 5.077 -5.114 2.953 5.077 0.000 -5.906 5.077" Properties=species:S:1:pos:R:3 comment="PmErMg17 PBE relaxed" e_form_ev_per_atom=-0.023 pbc="T T T"
Pm 0.000 0.000 0.000
Er 0.000 0.000 10.022
Mg -1.563 -2.677 5.022
Mg -3.100 -0.016 5.022
Mg -2.606 -1.504 7.803
Mg 0.000 0.000 3.528
Mg 0.000 -2.982 7.544
Mg -2.583 1.491 7.544
Mg 1.563 -2.677 5.022
Mg -1.536 2.692 5.022
Mg 0.000 0.000 6.556
Mg -2.468 -1.425 12.403
Mg 3.100 -0.016 5.022
Mg 1.536 2.692 5.022
Mg 2.606 -1.504 7.803
Mg 0.000 3.009 7.803
Mg 2.583 1.491 7.544
Mg 2.468 -1.425 12.403
Mg 0.000 2.850 12.403

***

[13]
8
Lattice="3.922 0.000 0.000 0.000 3.922 0.000 0.000 0.000 7.856" Properties=species:S:1:pos:R:3 comment="AlPd6W PBE relaxed" e_form_ev_per_atom=-0.314 pbc="T T T"
Al 0.000 0.000 0.000
Pd 0.000 1.961 1.993
Pd 0.000 1.961 5.863
Pd 1.961 0.000 1.993
Pd 1.961 0.000 5.863
Pd 1.961 1.961 0.000
Pd 1.961 1.961 3.928
W 0.000 0.000 3.928

***

[14]
5
Lattice="4.773 0.000 0.000 0.000 4.773 0.000 0.000 0.000 4.943" Properties=species:S:1:pos:R:3 comment="Li2HgGePd PBE relaxed" e_form_ev_per_atom=0.378 pbc="T T T"
Li 0.000 2.386 0.000
Li 2.386 0.000 0.000
Hg 0.000 0.000 0.000
Ge 0.000 0.000 2.472
Pd 2.386 2.386 2.472

***

[15]
4
Lattice="2.821 0.000 0.000 0.000 2.821 0.000 0.000 0.000 9.218" Properties=species:S:1:pos:R:3 comment="ZnPbW2 PBE relaxed" e_form_ev_per_atom=1.002 relative_energy_mev_per_atom=494.4 pbc="T T T"
Zn 0.000 0.000 0.000
Pb 0.000 0.000 4.609
W 1.410 1.410 2.006
W 1.410 1.410 7.212

***

[16]
14
Lattice="7.293 0.000 0.000 0.000 6.553 0.000 -3.564 0.000 8.472" Properties=species:S:1:pos:R:3 comment="Tm4HgPb2 PBE relaxed" e_form_ev_per_atom=-0.250 pbc="T T T"
Tm -1.350 1.638 3.819
Tm -2.553 1.638 7.214
Tm 0.560 0.029 6.502
Tm 0.560 3.248 6.502
Tm 3.169 3.305 1.971
Tm 3.169 6.524 1.971
Tm 6.282 4.914 1.259
Tm 5.079 4.914 4.654
Hg 0.778 1.638 1.730
Hg 2.951 4.914 6.742
Pb -1.649 4.914 8.000
Pb 0.866 4.914 3.737
Pb 2.863 1.638 4.735
Pb 5.379 1.638 0.473

***

[17]
14
Lattice="8.003 0.000 0.000 0.000 9.146 0.000 0.000 0.000 4.471" Properties=species:S:1:pos:R:3 comment="Ce4TiGe2 PBE relaxed" e_form_ev_per_atom=-0.396 pbc="T T T"
Ce 1.435 0.000 0.000
Ce 2.001 2.286 2.235
Ce 2.001 6.859 2.235
Ce 2.567 4.573 0.000
Ce 5.437 4.573 0.000
Ce 6.002 2.286 2.235
Ce 6.002 6.859 2.235
Ce 6.568 0.000 0.000
Ti 0.000 4.573 2.235
Ti 4.002 0.000 2.235
Ge 0.000 2.843 0.000
Ge 0.000 6.303 0.000
Ge 4.002 1.730 0.000
Ge 4.002 7.416 0.000

***

[18]
5
Lattice="4.582 0.000 0.000 0.000 4.582 0.000 0.000 0.000 5.210" Properties=species:S:1:pos:R:3 comment="BaCoS2Cl PBE relaxed" e_form_raw_ev_per_atom=-1.01 relative_energy_mev_per_atom=0.0 pbc="T T T"
Ba 0.000 0.000 0.000
Co 2.291 2.291 2.605
S 0.000 2.291 2.605
S 2.291 0.000 2.605
Cl 2.291 2.291 0.000

***

[19]
3
Lattice="3.983 0.000 0.000 -1.991 3.449 0.000 0.000 0.000 2.886" Properties=species:S:1:pos:R:3 comment="TiSiNi PBE relaxed" e_form_raw_ev_per_atom=-0.74 pbc="T T T"
Ti 0.000 0.000 0.000
Si 1.991 1.150 1.443
Ni 0.000 2.300 1.443

***

[20]
20
Lattice="9.524 0.000 0.000 0.000 9.524 0.000 0.000 0.000 3.390" Properties=species:S:1:pos:R:3 comment="Mg2TaSi2Rh5 PBE relaxed" e_form_raw_ev_per_atom=-0.67 pbc="T T T"
Mg 1.644 3.118 0.000
Mg 3.118 7.880 0.000
Mg 6.405 1.644 0.000
Mg 7.880 6.405 0.000
Ta 0.000 0.000 0.000
Ta 4.762 4.762 0.000
Si 1.199 5.961 0.000
Si 3.563 1.199 0.000
Si 5.961 8.325 0.000
Si 8.325 3.563 0.000
Rh 0.000 4.762 1.695
Rh 0.697 7.564 1.695
Rh 1.960 0.697 1.695
Rh 2.802 5.459 1.695
Rh 4.065 2.802 1.695
Rh 4.762 0.000 1.695
Rh 5.459 6.722 1.695
Rh 6.722 4.065 1.695
Rh 7.564 8.827 1.695
Rh 8.827 1.960 1.695

***

Record-wise calculated volume values, in A^3/atom: 23.2; 11.4; 19.3; 16.3; 17.1; 16.3; 23.7; 33.0; 16.6; 51.7; 23.6; 24.2; 15.1; 22.5; 18.3; 28.9; 23.4; 21.9; 13.2; 15.4